Record 1
DFT (PBE-GGA) results for TcIr after structural relaxation.

Formation enthalpy at 0 K   -0.097 eV/atom
E above lowest polymorph   186.5 meV per atom

Cell lengths 2.7202, 2.7202, 13.5601 Å; angles 90.00, 90.00, 120.00 degrees
Space group R-3m (No. 166, hexagonal axes)
Unique sites:
1 Tc 0.0000 0.0000 0.0000 [3 per cell]
2 Ir 0.0000 0.0000 0.5000 [3 per cell]

=====

Record 2
DFT (PBE-GGA) results for Tc3Ir after structural relaxation.

Formation enthalpy at 0 K   -0.059 eV/atom
E above lowest polymorph   158.3 meV per atom

Cell lengths 2.7286, 3.8887, 5.4849 Å; angles 90.00, 90.00, 90.00 degrees
Space group Pmmm (No. 47)
Unique sites:
1 Tc 0.0000 0.0000 0.0000 [1 per cell]
2 Tc 0.5000 0.5000 0.2417 [2 per cell]
3 Ir 0.0000 0.0000 0.5000 [1 per cell]

=====

The records above yield VASP energy values of -58.3 -40.2 eV per cell, respectively.